# 1
Here is a relaxed Li2CaSi crystal from Alexandria via LeMat-Bulk. Energies are from PBE.

For the uncorrected formation energy, the calculation gives 1.01 eV/f.u. Its space-group type is R-3m, No. 166. The value obtained for the calculated total energy is -10.2 eV for the cell shown.

Cell: 10.196 10.196 10.196 Å, 18.53 18.53 18.53°
Element x y z (fractional)
Ca: 0.750 0.750 0.750
Li: 0.984 0.984 0.984
Li: 0.516 0.516 0.516
Si: 0.250 0.250 0.250

***

# 2
Here is a relaxed Ho8MgTe2 crystal from Alexandria via LeMat-Bulk. Energies are from PBE.

For the uncorrected formation energy, the calculation gives -2.43 eV/f.u. Its space-group type is C2/m, No. 12. The value obtained for the calculated total energy is -46.9 eV for the cell shown.

Cell: 7.472 7.884 7.884 Å, 48.48 76.50 76.50°
Element x y z (fractional)
Ho: 0.710 0.176 0.667
Ho: 0.290 0.333 0.824
Ho: 0.937 0.223 0.223
Ho: 0.063 0.777 0.777
Ho: 0.710 0.667 0.176
Ho: 0.290 0.824 0.333
Ho: 0.290 0.337 0.337
Ho: 0.710 0.663 0.663
Mg: 0.000 0.000 0.000
Te: 0.602 0.136 0.136
Te: 0.398 0.864 0.864